Material: Nd2AlGa4Ni3
Method: DFT, PBE
State: relaxed

abc: 4.1424 4.1424 10.3603
angles: 90.00 90.00 90.00
Fractional positions:
Ga: 0.0000 0.0000 0.0000
Nd: 0.5000 0.0000 0.2412
Ga: 0.0000 0.5000 0.3556
Al: 0.5000 0.5000 0.5000
Nd: 0.0000 0.5000 0.7588
Ni: 0.0000 0.5000 0.1249
Ni: 0.0000 0.0000 0.5000
Ga: 0.5000 0.0000 0.6444
Ni: 0.5000 0.0000 0.8751
Ga: 0.5000 0.5000 0.0000

Values from the calculation:
**SG**: No. 115
**Mass density**: 7.2 g/cm3
**Energy of formation**: -0.57 eV/atom